[1]
PtSe | PBE-GGA | relaxed

Properties
Crystal system: monoclinic
Space-group type: P2_1/m (11)

Cell and atoms, written as POSCAR:
```
PtSe
1.0
3.9403 0.0000 0.0000
0.0000 3.6224 0.0000
-1.2257 0.0000 5.0853
Pt Se
2 2
Direct
0.1861 0.2500 0.1995
0.8139 0.7500 0.8005
0.3193 0.2500 0.7170
0.6807 0.7500 0.2830
```

[2]
Pt5Se4 | PBE-GGA | relaxed

Properties
Crystal system: monoclinic
Space-group type: P2_1/c (14)

Cell and atoms, written as POSCAR:
```
Pt5Se4
1.0
6.6603 0.0000 0.0000
0.0000 4.6999 0.0000
-2.2099 0.0000 11.0549
Pt Se
10 8
Direct
0.0000 0.0000 0.0000
0.0000 0.5000 0.5000
0.2230 0.1631 0.6733
0.2230 0.3369 0.1733
0.3316 0.6678 0.0022
0.3316 0.8322 0.5022
0.6684 0.1678 0.4978
0.6684 0.3322 0.9978
0.7770 0.6631 0.8267
0.7770 0.8369 0.3267
0.0888 0.1349 0.3621
0.0888 0.3651 0.8621
0.4858 0.5375 0.3559
0.4858 0.9625 0.8559
0.5142 0.0375 0.1441
0.5142 0.4625 0.6441
0.9112 0.6349 0.1379
0.9112 0.8651 0.6379
```

[3]
Pt3Se | PBE-GGA | relaxed

Properties
Crystal system: tetragonal
Space-group type: I4/mmm (139)

Cell and atoms, written as POSCAR:
```
Pt3Se
1.0
-2.2217 2.2217 3.3322
2.2217 -2.2217 3.3322
2.2217 2.2217 -3.3322
Pt Se
3 1
Direct
0.0000 0.0000 0.0000
0.2500 0.7500 0.5000
0.7500 0.2500 0.5000
0.5000 0.5000 0.0000
```

[4]
Pt3Se | PBE-GGA | relaxed

Properties
Crystal system: orthorhombic
Space-group type: Cmmm (65)

Cell and atoms, written as POSCAR:
```
Pt3Se
1.0
1.4029 -2.4707 0.0000
1.4029 2.4707 0.0000
0.0000 0.0000 9.5081
Pt Se
3 1
Direct
0.0000 0.0000 0.0000
0.5000 0.5000 0.2513
0.5000 0.5000 0.7487
0.0000 0.0000 0.5000
```

[5]
PtSe | PBE-GGA | relaxed

Properties
Crystal system: orthorhombic
Space-group type: Cmcm (63)

Cell and atoms, written as POSCAR:
```
PtSe
1.0
2.5305 -3.9474 0.0000
2.5305 3.9474 0.0000
0.0000 0.0000 3.9353
Pt Se
2 2
Direct
0.1173 0.8827 0.7500
0.8827 0.1173 0.2500
0.3173 0.6827 0.2500
0.6827 0.3173 0.7500
```

[6]
Pt3Se | PBE-GGA | relaxed

Properties
Crystal system: cubic
Space-group type: Pm-3m (221)

Cell and atoms, written as POSCAR:
```
Pt3Se
1.0
4.0398 0.0000 0.0000
0.0000 4.0398 0.0000
0.0000 0.0000 4.0398
Pt Se
3 1
Direct
0.0000 0.0000 0.5000
0.0000 0.5000 0.0000
0.5000 0.0000 0.0000
0.5000 0.5000 0.5000
```

[7]
PtSe3 | PBE-GGA | relaxed

Properties
Crystal system: cubic
Space-group type: Pm-3m (221)

Cell and atoms, written as POSCAR:
```
PtSe3
1.0
5.0403 0.0000 0.0000
0.0000 5.0403 0.0000
0.0000 0.0000 5.0403
Pt Se
1 3
Direct
0.0000 0.0000 0.0000
0.0000 0.0000 0.5000
0.0000 0.5000 0.0000
0.5000 0.0000 0.0000
```

[8]
Pt3Se | PBE-GGA | relaxed

Properties
Crystal system: orthorhombic
Space-group type: Cmmm (65)

Cell and atoms, written as POSCAR:
```
Pt3Se
1.0
2.6180 -3.5125 0.0000
2.6180 3.5125 0.0000
0.0000 0.0000 3.8502
Pt Se
3 1
Direct
0.0000 0.0000 0.0000
0.2706 0.7294 0.5000
0.7294 0.2706 0.5000
0.5000 0.5000 0.0000
```

[9]
Pt3Se | PBE-GGA | relaxed

Properties
Crystal system: trigonal
Space-group type: R-3m (166)

Cell and atoms, written as POSCAR:
```
Pt3Se
1.0
4.4556 2.5724 0.9570
-4.4556 2.5724 0.9570
0.0000 -5.1449 0.9570
Pt Se
3 1
Direct
0.0000 0.5000 0.5000
0.5000 0.0000 0.5000
0.5000 0.5000 0.0000
0.0000 0.0000 0.0000
```

[10]
PtSe | PBE-GGA | relaxed

Properties
Crystal system: hexagonal
Space-group type: P6_3/m (176)

Cell and atoms, written as POSCAR:
```
PtSe
1.0
7.9620 0.0000 0.0000
-3.9810 6.8953 0.0000
0.0000 0.0000 4.7338
Pt Se
6 6
Direct
0.0814 0.6385 0.2500
0.3615 0.4428 0.2500
0.4428 0.0814 0.7500
0.5572 0.9186 0.2500
0.6385 0.5572 0.7500
0.9186 0.3615 0.7500
0.0042 0.7041 0.7500
0.2959 0.3000 0.7500
0.3000 0.0042 0.2500
0.7000 0.9958 0.7500
0.7041 0.7000 0.2500
0.9958 0.2959 0.2500
```

[11]
PtSe3 | PBE-GGA | relaxed

Properties
Crystal system: orthorhombic
Space-group type: Cmcm (63)

Cell and atoms, written as POSCAR:
```
PtSe3
1.0
3.8730 -7.0063 0.0000
3.8730 7.0063 0.0000
0.0000 0.0000 3.5044
Pt Se
2 6
Direct
0.1564 0.8436 0.7500
0.8436 0.1564 0.2500
0.1114 0.3145 0.7500
0.2896 0.7104 0.2500
0.3145 0.1114 0.2500
0.6855 0.8886 0.7500
0.7104 0.2896 0.7500
0.8886 0.6855 0.2500
```

[12]
PtSe | PBE-GGA | relaxed

Properties
Crystal system: tetragonal
Space-group type: P4/m (83)

Cell and atoms, written as POSCAR:
```
PtSe
1.0
9.5184 0.0000 0.0000
0.0000 9.5184 0.0000
0.0000 0.0000 4.7215
Pt Se
8 8
Direct
0.0702 0.2801 0.0000
0.1005 0.7291 0.5000
0.2709 0.1005 0.5000
0.2801 0.9298 0.0000
0.7199 0.0702 0.0000
0.7291 0.8995 0.5000
0.8995 0.2709 0.5000
0.9298 0.7199 0.0000
0.1514 0.3360 0.5000
0.1874 0.6828 0.0000
0.3172 0.1874 0.0000
0.3360 0.8486 0.5000
0.6640 0.1514 0.5000
0.6828 0.8126 0.0000
0.8126 0.3172 0.0000
0.8486 0.6640 0.5000
```

Number 1: E_form (uncorrected) -40 meV per atom, total energy -19.21 eV/cell. Number 2: E_form (uncorrected) -318 meV per atom, total energy -94.02 eV/cell. Number 3: E_form (uncorrected) 226 meV per atom, total energy -20.70 eV/cell. Number 4: E_form (uncorrected) 212 meV per atom, total energy -20.76 eV/cell. Number 5: E_form (uncorrected) -191 meV per atom, total energy -19.81 eV/cell. Number 6: E_form (uncorrected) 333 meV per atom, total energy -20.28 eV/cell. Number 7: E_form (uncorrected) 624 meV per atom, total energy -14.00 eV/cell. Number 8: E_form (uncorrected) 67 meV per atom, total energy -21.34 eV/cell. Number 9: E_form (uncorrected) 234 meV per atom, total energy -20.67 eV/cell. Number 10: E_form (uncorrected) -74 meV per atom, total energy -58.04 eV/cell. Number 11: E_form (uncorrected) 120 meV per atom, total energy -32.03 eV/cell. Number 12: E_form (uncorrected) -146 meV per atom, total energy -78.54 eV/cell.